Density functional theory data (GGA-PBE) for an optimized crystal structure of Ca2Ga2Bi.

- DOS(E_F): 3.1 states/eV per cell
- E_tot: -2.96 eV per atom
- Polymorph energy (0 for the lowest one): 314 meV/atom
- Calculated volume: 145.0 Å³/f.u.
- Energy of formation from the pure elements: -0.1756 eV/atom
- Total magnetic moment: 0.0 μB per cell

Unit cell a=6.908 b=6.908 c=6.908 alpha=138.18 beta=138.18 gamma=60.62
Positions (direct):
Ca: 0.250 0.750 0.500
Ca: 0.750 0.250 0.500
Ga: 0.098 0.098 0.000
Ga: 0.902 0.902 0.000
Bi: 0.500 0.500 0.000